# FeCu2PtO6

A relaxed FeCu2PtO6 crystal (GGA+U, Alexandria via LeMat-Bulk).

Cell and atoms, written as CIF:
```
data_FeCu2PtO6
_chemical_formula_sum 'Fe1 Cu2 Pt1 O6'
_space_group_name_H-M_alt 'P 1'
_space_group_IT_number 1
_cell_length_a 5.095
_cell_length_b 5.095
_cell_length_c 5.410
_cell_angle_alpha 90.00
_cell_angle_beta 118.07
_cell_angle_gamma 120.01
loop_
_space_group_symop_operation_xyz
'x,y,z'
loop_
_atom_site_label
_atom_site_fract_x
_atom_site_fract_y
_atom_site_fract_z
Fe1 0.996 0.997 0.979
Cu1 0.600 0.799 0.385
Cu2 0.593 0.296 0.876
Pt1 0.990 0.495 0.471
O1 0.500 0.899 0.686
O2 0.484 0.090 0.178
O3 0.800 0.708 0.178
O4 0.102 0.392 0.178
O5 0.801 0.600 0.686
O6 0.100 0.200 0.686
```

The calculation puts the total energy at -5.47 eV/atom. Its calculated volume is 102.1 Å³ per cell.